Record 1
A relaxed structure of Sb2TeBr. Source: Alexandria via LeMat-Bulk, functional PBE.

extended XYZ file:
```
4
Lattice="-1.594 -1.030 -9.345 -3.561 -4.069 -7.855 -5.221 -0.525 -7.962" Properties=species:S:1:pos:R:3 pbc="T T T"
Sb -10.318 -5.593 -25.021
Sb -2.613 -1.416 -6.335
Br -7.687 -4.167 -18.642
Te -5.322 -2.885 -12.907
```

## Properties
**VASP energy**: -3.207 eV/atom
**Distance to the lowest polymorph of the same formula**: 154 meV/atom


Record 2
A relaxed structure of Sb2TeBr. Source: Alexandria via LeMat-Bulk, functional PBE.

extended XYZ file:
```
4
Lattice="0.000 3.797 3.797 3.797 0.000 3.797 3.797 3.797 0.000" Properties=species:S:1:pos:R:3 pbc="T T T"
Sb 5.695 5.695 5.695
Sb 1.898 1.898 1.898
Br 0.000 0.000 0.000
Te 3.797 3.797 3.797
```

## Properties
**VASP energy**: -3.078 eV/atom
**Distance to the lowest polymorph of the same formula**: 282 meV/atom


Record 3
A relaxed structure of SbTe4Br. Source: Alexandria via LeMat-Bulk, functional PBE.

extended XYZ file:
```
6
Lattice="0.000 4.470 4.470 4.470 0.000 4.470 4.470 4.470 0.000" Properties=species:S:1:pos:R:3 pbc="T T T"
Te 3.341 5.598 5.598
Te 3.341 3.341 3.341
Te 5.598 5.598 3.341
Te 5.598 3.341 5.598
Br 6.705 6.705 6.705
Sb 0.000 0.000 0.000
```

## Properties
**VASP energy**: -2.698 eV/atom


Record 4
A relaxed structure of Sb2TeBr. Source: Alexandria via LeMat-Bulk, functional PBE.

extended XYZ file:
```
4
Lattice="-3.084 -0.362 -1.470 0.004 -0.299 3.422 -1.660 10.439 0.914" Properties=species:S:1:pos:R:3 pbc="T T T"
Sb -1.652 10.386 0.909
Sb -1.948 2.235 1.201
Te -0.796 5.002 0.438
Br -2.835 7.812 1.689
```

## Properties
**VASP energy**: -3.111 eV/atom
**Distance to the lowest polymorph of the same formula**: 250 meV/atom


Energy relative to the elements, uncorrected: 58; 186; 362; 154 (meV/atom)